Fe3P5 | GGA-PBE | relaxed

Unit cell a=7.0931 b=7.0931 c=4.4736 alpha=90.00 beta=90.00 gamma=120.00
Last column: nearest neighbours and their distance in Å.
Fractional positions:
P  0.2737  0.2737  0.7500  5 Fe 2.38-2.44
Fe  0.3870  0.3870  0.2500  9 P 2.38-2.47
P  0.3333  0.6667  0.0000  2 P 2.24, 6 Fe 2.47
P  0.7263  0.0000  0.7500  5 Fe 2.38-2.44
P  0.3333  0.6667  0.5000  2 P 2.24, 6 Fe 2.47
P  0.6667  0.3333  0.5000  2 P 2.24, 6 Fe 2.47
Fe  0.3870  0.0000  0.7500  9 P 2.38-2.47
Fe  0.0000  0.6130  0.2500  9 P 2.38-2.47
P  0.0000  0.7263  0.7500  5 Fe 2.38-2.44
P  0.7263  0.7263  0.2500  5 Fe 2.38-2.44
Fe  0.0000  0.3870  0.7500  9 P 2.38-2.47
Fe  0.6130  0.0000  0.2500  9 P 2.38-2.47
Fe  0.6130  0.6130  0.7500  9 P 2.38-2.47
P  0.0000  0.2737  0.2500  5 Fe 2.38-2.44
P  0.2737  0.0000  0.2500  5 Fe 2.38-2.44
P  0.6667  0.3333  0.0000  2 P 2.24, 6 Fe 2.47

Output
* crystal system: hexagonal
* electronic total energy: -6.41 eV/atom
* symmetry: P6_3/mcm (193)
* relative energy among the computed polymorphs: 0.2294 eV/atom



FeP3 | GGA-PBE | relaxed

Unit cell a=3.1982 b=3.1982 c=6.2622 alpha=75.22 beta=75.22 gamma=60.11
Last column: nearest neighbours and their distance in Å.
Fractional positions:
Fe  0.0000  0.0000  0.0000  6 P 2.37-2.38
P  0.7501  0.7501  0.7508  3 Fe 2.37-2.38, 3 P 2.38
P  0.5000  0.5000  0.5000  6 P 2.38
P  0.2499  0.2499  0.2492  3 Fe 2.37-2.38, 3 P 2.38

Output
* crystal system: trigonal
* electronic total energy: -6.09 eV/atom
* symmetry: R-3m (166)
* relative energy among the computed polymorphs: 0.1554 eV/atom



FeP | GGA-PBE | relaxed

Unit cell a=5.4683 b=5.4683 c=5.4683 alpha=40.46 beta=40.46 gamma=40.46
Last column: nearest neighbours and their distance in Å.
Fractional positions:
P  0.9222  0.9222  0.9222  3 Fe 2.29, 1 P 2.34
P  0.0778  0.0778  0.0778  3 Fe 2.29, 1 P 2.34
Fe  0.6345  0.6345  0.6345  3 P 2.29, 3 Fe 2.39
Fe  0.3655  0.3655  0.3655  3 P 2.29, 3 Fe 2.39

Output
* crystal system: trigonal
* electronic total energy: -6.81 eV/atom
* symmetry: R-3m (166)



FeP3 | GGA-PBE | relaxed

Unit cell a=4.3744 b=4.3744 c=4.3744 alpha=90.00 beta=90.00 gamma=90.00
Last column: nearest neighbours and their distance in Å.
Fractional positions:
P  0.5000  0.0000  0.0000  2 Fe 2.19
P  0.0000  0.0000  0.5000  2 Fe 2.19
P  0.0000  0.5000  0.0000  2 Fe 2.19
Fe  0.0000  0.0000  0.0000  6 P 2.19

Output
* crystal system: cubic
* electronic total energy: -5.43 eV/atom
* symmetry: Pm-3m (221)
* relative energy among the computed polymorphs: 0.8154 eV/atom



FeP3 | GGA-PBE | relaxed

Unit cell a=5.2883 b=5.2883 c=8.9881 alpha=90.00 beta=90.00 gamma=120.00
Last column: nearest neighbours and their distance in Å.
Fractional positions:
P  0.8552  0.7103  0.2500  2 P 2.30
P  0.5000  0.5000  0.5000  8 P 2.64-2.78, 4 Fe 2.64-2.72
P  0.5000  0.0000  0.0000  8 P 2.64-2.78, 4 Fe 2.64-2.72
Fe  0.3333  0.6667  0.2500  12 P 2.65-2.72
P  0.0000  0.5000  0.0000  4 Fe 2.64-2.72, 8 P 2.64-2.78
P  0.8552  0.1448  0.2500  2 P 2.30
Fe  0.0000  0.0000  0.0000  12 P 2.61-2.64
P  0.1448  0.8552  0.7500  2 P 2.30
P  0.1448  0.2897  0.7500  2 P 2.30
Fe  0.6667  0.3333  0.7500  12 P 2.65-2.72
P  0.2897  0.1448  0.2500  2 P 2.30
Fe  0.0000  0.0000  0.5000  12 P 2.61-2.64
P  0.5000  0.0000  0.5000  8 P 2.64-2.78, 4 Fe 2.64-2.72
P  0.0000  0.5000  0.5000  4 Fe 2.64-2.72, 8 P 2.64-2.78
P  0.7103  0.8552  0.7500  2 P 2.30
P  0.5000  0.5000  0.0000  8 P 2.64-2.78, 4 Fe 2.64-2.72

Output
* crystal system: hexagonal
* electronic total energy: -5.58 eV/atom
* symmetry: P6_3/mmc (194)
* relative energy among the computed polymorphs: 0.6638 eV/atom



FeP | GGA-PBE | relaxed

Unit cell a=8.8948 b=8.8948 c=2.8284 alpha=90.00 beta=90.00 gamma=120.00
Last column: nearest neighbours and their distance in Å.
Fractional positions:
P  0.0893  0.3850  0.7500  4 Fe 2.14-2.21
P  0.7044  0.0893  0.2500  4 Fe 2.14-2.21
Fe  0.3595  0.4625  0.7500  4 P 2.14-2.21
Fe  0.8970  0.3595  0.2500  4 P 2.14-2.21
Fe  0.5375  0.8970  0.7500  4 P 2.14-2.21
Fe  0.4625  0.1030  0.2500  4 P 2.14-2.21
P  0.2956  0.9107  0.7500  4 Fe 2.14-2.21
Fe  0.1030  0.6405  0.7500  4 P 2.14-2.21
P  0.3850  0.2956  0.2500  4 Fe 2.14-2.21
Fe  0.6405  0.5375  0.2500  4 P 2.14-2.21
P  0.6150  0.7044  0.7500  4 Fe 2.14-2.21
P  0.9107  0.6150  0.2500  4 Fe 2.14-2.21

Output
* crystal system: hexagonal
* electronic total energy: -7.13 eV/atom
* symmetry: P6_3/m (176)



FeP3 | GGA-PBE | relaxed

Unit cell a=2.6680 b=5.0226 c=5.0227 alpha=52.15 beta=90.00 gamma=90.00
Last column: nearest neighbours and their distance in Å.
Fractional positions:
P  0.5000  0.7967  0.7968  2 Fe 2.27, 2 P 2.36
P  0.5000  0.2033  0.2032  2 Fe 2.27, 2 P 2.36
P  0.0000  0.5000  0.5000  2 Fe 2.21
Fe  0.0000  0.0000  0.0000  6 P 2.21-2.27

Output
* crystal system: orthorhombic
* electronic total energy: -6.22 eV/atom
* symmetry: Cmmm (65)
* relative energy among the computed polymorphs: 0.0247 eV/atom



FeP4 | GGA-PBE | relaxed

Unit cell a=4.5967 b=4.6029 c=6.8542 alpha=99.55 beta=90.00 gamma=90.00
Last column: nearest neighbours and their distance in Å.
Fractional positions:
P  0.1919  0.7974  0.2521  2 P 2.18-2.20, 2 Fe 2.27-2.29
P  0.6919  0.2026  0.2479  2 P 2.18-2.20, 2 Fe 2.27-2.29
P  0.3081  0.7974  0.7521  2 P 2.18-2.20, 2 Fe 2.27-2.29
P  0.1599  0.3730  0.5858  3 P 2.18-2.32, 1 Fe 2.32
P  0.3401  0.3730  0.0858  3 P 2.18-2.32, 1 Fe 2.32
Fe  0.0000  0.0000  0.0000  6 P 2.27-2.32
P  0.6599  0.6270  0.9142  3 P 2.18-2.32, 1 Fe 2.32
P  0.8401  0.6270  0.4142  3 P 2.18-2.32, 1 Fe 2.32
P  0.8081  0.2026  0.7479  2 P 2.18-2.20, 2 Fe 2.27-2.29
Fe  0.5000  0.0000  0.5000  6 P 2.27-2.32

Output
* crystal system: monoclinic
* electronic total energy: -6.34 eV/atom
* symmetry: P2_1/c (14)



Fe5P3 | GGA-PBE | relaxed

Unit cell a=6.4680 b=6.4680 c=6.4678 alpha=98.39 beta=98.39 gamma=135.09
Last column: nearest neighbours and their distance in Å.
Fractional positions:
Fe  0.7533  0.8922  0.7158  5 P 2.24-2.38
Fe  0.2926  0.7930  0.4998  4 P 2.26-2.37, 2 Fe 2.47
Fe  0.3919  0.2538  0.7157  5 P 2.24-2.38
Fe  0.6763  0.3922  0.1386  5 P 2.24-2.38
P  0.2228  0.2231  0.0000  8 Fe 2.24-2.28, 2 P 2.47
P  0.7227  0.7232  0.0000  8 Fe 2.24-2.28, 2 P 2.47
Fe  0.5376  0.6763  0.2843  5 P 2.24-2.38
Fe  0.8918  0.1766  0.1386  5 P 2.24-2.38
P  0.7266  0.2270  0.8273  8 Fe 2.26-2.38
P  0.8993  0.7270  0.5000  8 Fe 2.26-2.38
Fe  0.7926  0.2930  0.5000  4 P 2.26-2.37, 2 Fe 2.47
P  0.3992  0.8996  0.1726  8 Fe 2.26-2.38
Fe  0.1760  0.0380  0.2843  5 P 2.24-2.38
Fe  0.2530  0.5377  0.8614  5 P 2.24-2.37
Fe  0.0374  0.7534  0.8614  5 P 2.24-2.38
P  0.2267  0.3997  0.5000  8 Fe 2.26-2.38

Output
* crystal system: tetragonal
* electronic total energy: -7.72 eV/atom
* symmetry: I4cm (108)
* relative energy among the computed polymorphs: 0.0000 eV/atom



FeP | GGA-PBE | relaxed

Unit cell a=6.0413 b=10.9091 c=8.6562 alpha=90.00 beta=90.00 gamma=90.00
Last column: nearest neighbours and their distance in Å.
Fractional positions:
P  0.0000  0.0000  0.1987  4 Fe 2.11-2.17
Fe  0.5000  0.6218  0.0000  4 P 2.11-2.17
Fe  0.7500  0.1282  0.2500  4 P 2.11-2.17
P  0.2500  0.7500  0.0513  4 Fe 2.11-2.17
P  0.7500  0.7500  0.9487  4 Fe 2.11-2.17
P  0.2500  0.2500  0.9487  4 Fe 2.11-2.17
P  0.0000  0.5000  0.3013  4 Fe 2.11-2.17
Fe  0.0000  0.8782  0.0000  4 P 2.11-2.17
Fe  0.7500  0.8718  0.7500  4 P 2.11-2.17
P  0.7500  0.7500  0.5513  4 Fe 2.11-2.17
Fe  0.0000  0.1218  0.0000  4 P 2.11-2.17
P  0.5000  0.5000  0.1987  4 Fe 2.11-2.17
Fe  0.0000  0.6218  0.5000  4 P 2.11-2.17
Fe  0.5000  0.8782  0.5000  4 P 2.11-2.17
Fe  0.2500  0.6282  0.2500  4 P 2.11-2.17
P  0.0000  0.0000  0.8013  4 Fe 2.11-2.17
P  0.0000  0.5000  0.6987  4 Fe 2.11-2.17
Fe  0.5000  0.3782  0.0000  4 P 2.11-2.17
Fe  0.2500  0.1282  0.7500  4 P 2.11-2.17
P  0.2500  0.2500  0.5513  4 Fe 2.11-2.17
P  0.5000  0.5000  0.8013  4 Fe 2.11-2.17
Fe  0.2500  0.3718  0.7500  4 P 2.11-2.17
P  0.7500  0.2500  0.4487  4 Fe 2.11-2.17
Fe  0.2500  0.8718  0.2500  4 P 2.11-2.17
Fe  0.7500  0.3718  0.2500  4 P 2.11-2.17
Fe  0.0000  0.3782  0.5000  4 P 2.11-2.17
P  0.5000  0.0000  0.3013  4 Fe 2.11-2.17
P  0.5000  0.0000  0.6987  4 Fe 2.11-2.17
P  0.7500  0.2500  0.0513  4 Fe 2.11-2.17
Fe  0.7500  0.6282  0.7500  4 P 2.11-2.17
P  0.2500  0.7500  0.4487  4 Fe 2.11-2.17
Fe  0.5000  0.1218  0.5000  4 P 2.11-2.17

Output
* crystal system: orthorhombic
* electronic total energy: -7.18 eV/atom
* symmetry: Fddd (70)



FeP3 | GGA-PBE | relaxed

Unit cell a=4.5761 b=4.5761 c=2.5416 alpha=90.00 beta=90.00 gamma=90.00
Last column: nearest neighbours and their distance in Å.
Fractional positions:
P  0.5000  0.5000  0.0000  10 P 2.54-2.62
P  0.0000  0.5000  0.5000  6 P 2.54-2.62, 4 Fe 2.62
Fe  0.0000  0.0000  0.0000  2 Fe 2.54, 8 P 2.62
P  0.5000  0.0000  0.5000  6 P 2.54-2.62, 4 Fe 2.62

Output
* crystal system: tetragonal
* electronic total energy: -5.67 eV/atom
* symmetry: P4/mmm (123)
* relative energy among the computed polymorphs: 0.5736 eV/atom



FeP7 | GGA-PBE | relaxed

Unit cell a=5.4089 b=5.4089 c=5.4089 alpha=60.00 beta=60.00 gamma=60.00
Last column: nearest neighbours and their distance in Å.
Fractional positions:
P  0.0000  0.5000  0.0000  2 Fe 2.70, 10 P 2.70
P  0.5000  0.5000  0.0000  2 Fe 2.70, 10 P 2.70
P  0.5000  0.0000  0.5000  2 Fe 2.70, 10 P 2.70
P  0.5000  0.0000  0.0000  2 Fe 2.70, 10 P 2.70
Fe  0.0000  0.0000  0.0000  12 P 2.70
P  0.0000  0.0000  0.5000  2 Fe 2.70, 10 P 2.70
P  0.0000  0.5000  0.5000  2 Fe 2.70, 10 P 2.70
P  0.5000  0.5000  0.5000  12 P 2.70

Output
* crystal system: cubic
* electronic total energy: -5.01 eV/atom
* symmetry: Fm-3m (225)



| no. | volume (Å³/cell) |
| --- | --- |
| 1 | 194.9 |
| 2 | 53.1 |
| 3 | 62.1 |
| 4 | 83.7 |
| 5 | 217.7 |
| 6 | 193.8 |
| 7 | 53.1 |
| 8 | 143.0 |
| 9 | 176.6 |
| 10 | 570.5 |
| 11 | 53.2 |
| 12 | 111.9 |